No. 1
! ThBeTc, optimized geometry, DFT GGA-PBE; values from VASP
&SYSTEM
  ibrav = 0, nat = 6, ntyp = 3
/
ATOMIC_SPECIES
Th 232.04 Th.upf
Be 9.01 Be.upf
Tc 98.00 Tc.upf
CELL_PARAMETERS angstrom
2.481 -6.703 0.000
2.481 6.703 0.000
0.000 0.000 3.204
ATOMIC_POSITIONS angstrom
Th 2.481 5.302 2.403
Th 2.481 -5.302 0.801
Be 2.481 0.838 2.403
Be 2.481 -0.838 0.801
Tc 2.481 2.889 0.801
Tc 2.481 -2.889 2.403
! size of the total moment: 0.00 Bohr magnetons per cell
! E_form: 293 meV/atom

No. 2
! ThBe17Tc, optimized geometry, DFT GGA-PBE; values from VASP
&SYSTEM
  ibrav = 0, nat = 19, ntyp = 3
/
ATOMIC_SPECIES
Th 232.04 Th.upf
Be 9.01 Be.upf
Tc 98.00 Tc.upf
CELL_PARAMETERS angstrom
3.803 2.196 3.686
-3.803 2.196 3.686
0.000 -4.392 3.686
ATOMIC_POSITIONS angstrom
Th 0.000 0.000 0.000
Be 0.000 -2.147 1.878
Be -1.859 1.073 1.878
Be -1.902 -1.098 5.426
Be 0.000 -2.076 5.307
Be -1.798 1.038 5.307
Be -1.039 -1.918 7.277
Be -2.181 0.060 7.277
Be 1.859 1.073 1.878
Be 0.000 0.000 6.160
Be 1.039 -1.918 7.277
Be -1.142 1.859 7.277
Be 1.902 -1.098 5.426
Be 0.000 2.196 5.426
Be 0.000 0.000 8.263
Be 1.798 1.038 5.307
Be 2.181 0.060 7.277
Be 1.142 1.859 7.277
Tc 0.000 0.000 3.690
! size of the total moment: 0.00 Bohr magnetons per cell
! E_form: -28 meV/atom

No. 3
! TiBe5Tc, optimized geometry, DFT GGA-PBE; values from VASP
&SYSTEM
  ibrav = 0, nat = 28, ntyp = 3
/
ATOMIC_SPECIES
Ti 47.87 Ti.upf
Be 9.01 Be.upf
Tc 98.00 Tc.upf
CELL_PARAMETERS angstrom
7.171 0.000 0.000
0.000 4.340 0.000
0.000 0.000 9.042
ATOMIC_POSITIONS angstrom
Ti 1.788 1.085 0.680
Ti 1.797 3.255 5.201
Ti 5.374 1.085 3.841
Ti 5.383 3.255 8.362
Be 0.425 3.255 1.090
Be 0.550 0.036 2.877
Be 0.550 2.134 2.877
Be 0.603 1.085 4.694
Be 1.284 1.085 6.794
Be 2.301 3.255 2.273
Be 2.982 3.255 0.173
Be 3.035 2.206 7.398
Be 3.035 4.304 7.398
Be 3.160 1.085 5.610
Be 4.011 3.255 3.431
Be 4.136 0.036 1.644
Be 4.136 2.134 1.644
Be 4.189 1.085 8.869
Be 4.870 1.085 6.769
Be 5.887 3.255 2.248
Be 6.568 3.255 4.348
Be 6.621 2.206 6.165
Be 6.621 4.304 6.165
Be 6.746 1.085 7.952
Tc 0.821 3.255 7.965
Tc 2.765 1.085 3.444
Tc 4.407 3.255 5.598
Tc 6.350 1.085 1.077
! size of the total moment: 0.00 Bohr magnetons per cell
! E_form: -259 meV/atom

No. 4
! Ti3Be8Tc, optimized geometry, DFT GGA-PBE; values from VASP
&SYSTEM
  ibrav = 0, nat = 12, ntyp = 3
/
ATOMIC_SPECIES
Ti 47.87 Ti.upf
Be 9.01 Be.upf
Tc 98.00 Tc.upf
CELL_PARAMETERS angstrom
2.239 1.293 7.349
-2.239 1.293 7.349
0.000 -2.586 7.349
ATOMIC_POSITIONS angstrom
Ti 0.000 0.000 0.000
Ti 0.000 0.000 2.780
Ti 0.000 0.000 11.106
Be -1.138 -0.657 8.717
Be 0.000 -1.296 5.128
Be -1.122 0.648 5.128
Be 0.000 0.000 6.933
Be 1.138 -0.657 8.717
Be 0.000 1.314 8.717
Be 1.122 0.648 5.128
Be 0.000 0.000 17.924
Tc 0.000 0.000 13.807
! size of the total moment: 1.97 Bohr magnetons per cell
! E_form: -305 meV/atom

No. 5
! TiBe2Tc, optimized geometry, DFT GGA-PBE; values from VASP
&SYSTEM
  ibrav = 0, nat = 4, ntyp = 3
/
ATOMIC_SPECIES
Ti 47.87 Ti.upf
Be 9.01 Be.upf
Tc 98.00 Tc.upf
CELL_PARAMETERS angstrom
1.686 0.974 5.084
-1.686 0.974 5.084
0.000 -1.947 5.084
ATOMIC_POSITIONS angstrom
Ti 0.000 0.000 0.000
Be 0.000 0.000 3.653
Be 0.000 0.000 11.598
Tc 0.000 0.000 7.625
! size of the total moment: 0.00 Bohr magnetons per cell
! E_form: 158 meV/atom

No. 6
! TiBe2Tc, optimized geometry, DFT GGA-PBE; values from VASP
&SYSTEM
  ibrav = 0, nat = 4, ntyp = 3
/
ATOMIC_SPECIES
Ti 47.87 Ti.upf
Be 9.01 Be.upf
Tc 98.00 Tc.upf
CELL_PARAMETERS angstrom
0.000 2.864 2.864
2.864 0.000 2.864
2.864 2.864 0.000
ATOMIC_POSITIONS angstrom
Ti 0.000 0.000 0.000
Be 1.432 1.432 1.432
Be 4.296 4.296 4.296
Tc 2.864 2.864 2.864
! size of the total moment: 0.00 Bohr magnetons per cell
! E_form: -163 meV/atom

No. 7
! Ti5Be12Tc3, optimized geometry, DFT GGA-PBE; values from VASP
&SYSTEM
  ibrav = 0, nat = 80, ntyp = 3
/
ATOMIC_SPECIES
Ti 47.87 Ti.upf
Be 9.01 Be.upf
Tc 98.00 Tc.upf
CELL_PARAMETERS angstrom
-6.675 6.675 6.675
6.675 -6.675 6.675
6.675 6.675 -6.675
ATOMIC_POSITIONS angstrom
Ti 0.000 0.000 0.000
Ti 3.337 3.337 -3.337
Ti 3.337 -3.337 3.337
Ti 6.675 0.000 0.000
Ti 10.012 1.669 0.000
Ti 6.675 -3.337 5.006
Ti 5.006 6.675 -3.337
Ti 5.006 0.000 3.337
Ti 3.337 5.006 0.000
Ti 6.675 3.337 1.669
Ti -3.337 3.337 3.337
Ti 0.000 6.675 0.000
Ti 0.000 0.000 6.675
Ti 3.337 3.337 3.337
Ti 0.000 3.337 5.006
Ti 3.337 1.669 6.675
Ti 1.669 6.675 3.337
Ti 1.669 0.000 10.012
Ti 0.000 10.012 1.669
Ti -3.337 5.006 6.675
Be 6.822 -1.091 2.025
Be 9.865 -1.313 2.246
Be 8.700 -0.147 1.091
Be 7.987 -2.246 3.190
Be 2.025 0.147 1.091
Be 7.987 4.429 -3.190
Be 4.429 3.190 -1.313
Be 5.584 2.025 -0.147
Be 1.091 2.025 0.147
Be 8.921 3.485 -1.313
Be 0.147 1.091 2.025
Be 3.190 -1.313 4.429
Be 6.822 5.584 -2.025
Be 3.190 1.313 2.246
Be 2.246 3.190 1.313
Be 7.766 4.650 -0.147
Be 5.584 -2.025 6.822
Be 4.429 -3.190 7.987
Be 1.313 2.246 3.190
Be 2.025 -0.147 5.584
Be 2.025 6.822 -1.091
Be 7.987 2.246 3.485
Be 3.190 7.987 -2.246
Be 6.822 1.091 4.650
Be -0.147 5.584 2.025
Be 3.485 -1.313 8.921
Be -1.313 4.429 3.190
Be 4.650 -0.147 7.766
Be 4.650 6.822 1.091
Be 5.362 4.429 3.485
Be 2.246 9.865 -1.313
Be 1.091 8.700 -0.147
Be -1.091 2.025 6.822
Be 4.429 3.485 5.362
Be 3.485 5.362 4.429
Be -0.147 1.091 8.700
Be 3.485 7.987 2.246
Be 6.528 5.584 4.650
Be -2.246 3.190 7.987
Be 5.584 4.650 6.528
Be 1.091 4.650 6.822
Be 2.246 3.485 7.987
Be -1.313 2.246 9.865
Be 4.650 6.528 5.584
Be -1.313 8.921 3.485
Be -2.025 6.822 5.584
Be -3.190 7.987 4.429
Be -0.147 7.766 4.650
Tc 3.337 1.669 0.000
Tc 6.675 3.337 -1.669
Tc 1.669 0.000 3.337
Tc 8.344 0.000 3.337
Tc 0.000 3.337 1.669
Tc 3.337 -1.669 6.675
Tc 3.337 8.344 0.000
Tc 6.675 3.337 5.006
Tc -1.669 6.675 3.337
Tc 5.006 6.675 3.337
Tc 0.000 3.337 8.344
Tc 3.337 5.006 6.675
! size of the total moment: 4.85 Bohr magnetons per cell
! E_form: 807 meV/atom

No. 8
! TiBe9Tc2, optimized geometry, DFT GGA-PBE; values from VASP
&SYSTEM
  ibrav = 0, nat = 24, ntyp = 3
/
ATOMIC_SPECIES
Ti 47.87 Ti.upf
Be 9.01 Be.upf
Tc 98.00 Tc.upf
CELL_PARAMETERS angstrom
4.359 0.000 0.000
-2.180 3.775 0.000
0.000 0.000 13.916
ATOMIC_POSITIONS angstrom
Ti 0.000 2.517 3.479
Ti 2.180 1.258 10.437
Be 0.000 0.000 0.000
Be 0.000 0.000 3.479
Be 0.000 0.000 6.958
Be 0.000 0.000 10.437
Be 0.000 1.277 8.687
Be 0.000 1.277 12.186
Be -1.074 3.137 8.687
Be -1.074 3.137 12.186
Be 0.000 2.517 10.437
Be 1.106 0.638 1.730
Be 1.106 0.638 5.228
Be 1.074 3.137 8.687
Be 1.074 3.137 12.186
Be 2.180 1.258 3.479
Be 3.254 0.638 1.730
Be 3.254 0.638 5.228
Be 2.180 2.499 1.730
Be 2.180 2.499 5.228
Tc 0.000 2.517 0.473
Tc 0.000 2.517 6.485
Tc 2.180 1.258 7.431
Tc 2.180 1.258 13.443
! size of the total moment: 0.00 Bohr magnetons per cell
! E_form: -310 meV/atom

No. 9
! Ti4Be3Tc, optimized geometry, DFT GGA-PBE; values from VASP
&SYSTEM
  ibrav = 0, nat = 8, ntyp = 3
/
ATOMIC_SPECIES
Ti 47.87 Ti.upf
Be 9.01 Be.upf
Tc 98.00 Tc.upf
CELL_PARAMETERS angstrom
3.060 0.000 0.000
0.000 3.060 0.000
0.000 0.000 11.459
ATOMIC_POSITIONS angstrom
Ti 0.000 0.000 1.405
Ti 0.000 0.000 4.231
Ti 0.000 0.000 7.228
Ti 0.000 0.000 10.054
Be 1.530 1.530 0.000
Be 1.530 1.530 2.810
Be 1.530 1.530 8.648
Tc 1.530 1.530 5.729
! size of the total moment: 0.00 Bohr magnetons per cell
! E_form: -238 meV/atom

No. 10
! TiBe9Tc2, optimized geometry, DFT GGA-PBE; values from VASP
&SYSTEM
  ibrav = 0, nat = 12, ntyp = 3
/
ATOMIC_SPECIES
Ti 47.87 Ti.upf
Be 9.01 Be.upf
Tc 98.00 Tc.upf
CELL_PARAMETERS angstrom
2.183 1.260 6.944
-2.183 1.260 6.944
0.000 -2.521 6.944
ATOMIC_POSITIONS angstrom
Ti 0.000 0.000 0.000
Be -1.104 -0.637 8.686
Be 0.000 0.000 6.943
Be 0.000 -1.275 12.146
Be -1.104 0.637 12.146
Be 0.000 0.000 10.416
Be 1.104 -0.637 8.686
Be 0.000 1.275 8.686
Be 0.000 0.000 13.890
Be 1.104 0.637 12.147
Tc 0.000 0.000 3.005
Tc 0.000 0.000 17.827
! size of the total moment: 0.01 Bohr magnetons per cell
! E_form: -305 meV/atom

No. 11
! TiBe4Tc, optimized geometry, DFT GGA-PBE; values from VASP
&SYSTEM
  ibrav = 0, nat = 6, ntyp = 3
/
ATOMIC_SPECIES
Ti 47.87 Ti.upf
Be 9.01 Be.upf
Tc 98.00 Tc.upf
CELL_PARAMETERS angstrom
0.000 3.135 3.135
3.135 0.000 3.135
3.135 3.135 0.000
ATOMIC_POSITIONS angstrom
Ti 0.000 0.000 0.000
Be 3.910 2.360 2.360
Be 2.360 3.910 2.360
Be 2.360 2.360 3.910
Be 3.910 3.910 3.910
Tc 1.567 1.567 1.567
! size of the total moment: 0.00 Bohr magnetons per cell
! E_form: -418 meV/atom

Look up the size of the total moment of the eleventh one.
0.00 Bohr magnetons per cell